A plane-wave DFT calculation with SCAN was carried out for a crystal of Tl2AgSe2 relaxed with PBEsol.

As for the formation energy from raw total energies: 97 meV per atom. Its crystal system is tetragonal.

Unit cell a=8.835 b=8.835 c=8.835 alpha=154.84 beta=154.84 gamma=35.87
Atoms (fractional coordinates):
Tl  0.095  0.095  0.000
Tl  0.905  0.905  0.000
Ag  0.500  0.500  0.000
Se  0.250  0.750  0.500
Se  0.750  0.250  0.500

---

A plane-wave DFT calculation with SCAN was carried out for a crystal of BeAs2AuBr relaxed with PBEsol.

As for the formation energy from raw total energies: 624 meV per atom. Its crystal system is tetragonal.

Unit cell a=4.520 b=4.520 c=4.570 alpha=90.00 beta=90.00 gamma=90.00
Atoms (fractional coordinates):
Be  0.000  0.000  0.000
As  0.000  0.500  0.000
As  0.500  0.000  0.000
Au  0.500  0.500  0.500
Br  0.000  0.000  0.500

---

A plane-wave DFT calculation with SCAN was carried out for a crystal of ScZn3Os relaxed with PBEsol.

For the formation energy, the calculation gives 1955 meV/atom. Its crystal system is cubic.

Unit cell a=4.741 b=4.741 c=4.741 alpha=90.00 beta=90.00 gamma=90.00
Atoms (fractional coordinates):
Sc  0.000  0.000  0.000
Zn  0.000  0.000  0.500
Zn  0.000  0.500  0.000
Zn  0.500  0.000  0.000
Os  0.500  0.500  0.500

---

A plane-wave DFT calculation with SCAN was carried out for a crystal of K3SnSe3 relaxed with PBEsol.

As for the formation energy from raw total energies: -1149 meV per atom. Its crystal system is monoclinic.

Unit cell a=9.009 b=12.732 c=8.867 alpha=90.00 beta=115.60 gamma=90.00
Atoms (fractional coordinates):
K  0.003  0.163  0.014
K  0.003  0.337  0.514
K  0.224  0.568  0.209
K  0.224  0.932  0.709
K  0.442  0.213  0.810
K  0.442  0.287  0.310
K  0.558  0.713  0.690
K  0.558  0.787  0.190
K  0.776  0.068  0.291
K  0.776  0.432  0.791
K  0.997  0.663  0.486
K  0.997  0.837  0.986
Sn  0.341  0.508  0.870
Sn  0.341  0.992  0.370
Sn  0.659  0.008  0.630
Sn  0.659  0.492  0.130
Se  0.170  0.131  0.428
Se  0.170  0.369  0.928
Se  0.241  0.693  0.877
Se  0.241  0.807  0.377
Se  0.350  0.028  0.094
Se  0.350  0.472  0.594
Se  0.650  0.528  0.406
Se  0.650  0.972  0.906
Se  0.759  0.193  0.623
Se  0.759  0.307  0.123
Se  0.830  0.631  0.072
Se  0.830  0.869  0.572

---

A plane-wave DFT calculation with SCAN was carried out for a crystal of FeCuI3 relaxed with PBEsol.

As for the formation energy from raw total energies: 597 meV per atom. Its crystal system is cubic.

Unit cell a=5.273 b=5.273 c=5.273 alpha=90.00 beta=90.00 gamma=90.00
Atoms (fractional coordinates):
Fe  0.000  0.000  0.000
Cu  0.500  0.500  0.500
I  0.000  0.500  0.500
I  0.500  0.000  0.500
I  0.500  0.500  0.000

---

A plane-wave DFT calculation with SCAN was carried out for a crystal of Li3CaCu relaxed with PBEsol.

For the formation energy, the calculation gives 99 meV/atom. Its crystal system is cubic.

Unit cell a=4.784 b=4.784 c=4.784 alpha=90.00 beta=90.00 gamma=90.00
Atoms (fractional coordinates):
Li  0.000  0.000  0.500
Li  0.000  0.500  0.000
Li  0.500  0.000  0.000
Ca  0.500  0.500  0.500
Cu  0.000  0.000  0.000

---

A plane-wave DFT calculation with SCAN was carried out for a crystal of CaTcAs2 relaxed with PBEsol.

For the formation energy, the calculation gives -376 meV/atom. For the relative energy among the computed polymorphs, the calculation gives 138 meV per atom. Its crystal system is orthorhombic.

Unit cell a=4.436 b=6.170 c=6.170 alpha=31.91 beta=90.00 gamma=90.00
Atoms (fractional coordinates):
Ca  0.000  0.000  0.000
Tc  0.500  0.221  0.221
As  0.000  0.288  0.288
As  0.500  0.577  0.577

---

A plane-wave DFT calculation with SCAN was carried out for a crystal of BaNaI3 relaxed with PBEsol.

As for the formation energy from raw total energies: -1522 meV per atom. Its crystal system is cubic.

Unit cell a=5.786 b=5.786 c=5.786 alpha=90.00 beta=90.00 gamma=90.00
Atoms (fractional coordinates):
Ba  0.000  0.000  0.000
Na  0.500  0.500  0.500
I  0.000  0.500  0.500
I  0.500  0.000  0.500
I  0.500  0.500  0.000

---

A plane-wave DFT calculation with SCAN was carried out for a crystal of AlFe2B2 relaxed with PBEsol.

For the formation energy, the calculation gives -376 meV/atom. Its crystal system is tetragonal.

Unit cell a=5.555 b=5.555 c=2.795 alpha=90.00 beta=90.00 gamma=90.00
Atoms (fractional coordinates):
Al  0.000  0.000  0.000
Al  0.500  0.500  0.000
Fe  0.171  0.329  0.500
Fe  0.329  0.829  0.500
Fe  0.671  0.171  0.500
Fe  0.829  0.671  0.500
B  0.113  0.613  0.000
B  0.387  0.113  0.000
B  0.613  0.887  0.000
B  0.887  0.387  0.000

---

A plane-wave DFT calculation with SCAN was carried out for a crystal of LiMn2OF3 relaxed with PBEsol.

As for the formation energy from raw total energies: -2624 meV per atom. For the relative energy among the computed polymorphs, the calculation gives 6 meV per atom. Its crystal system is monoclinic.

Unit cell a=6.047 b=6.047 c=6.163 alpha=118.62 beta=118.62 gamma=60.96
Atoms (fractional coordinates):
Li  0.000  0.000  0.000
Li  0.000  0.000  0.500
Mn  0.000  0.500  0.000
Mn  0.354  0.354  0.546
Mn  0.500  0.000  0.000
Mn  0.646  0.646  0.454
O  0.232  0.232  0.179
O  0.768  0.768  0.821
F  0.232  0.758  0.736
F  0.236  0.236  0.723
F  0.242  0.768  0.264
F  0.758  0.232  0.736
F  0.764  0.764  0.277
F  0.768  0.242  0.264

---

A plane-wave DFT calculation with SCAN was carried out for a crystal of Li2TaTc relaxed with PBEsol.

For the formation energy, the calculation gives 330 meV/atom. For the relative energy among the computed polymorphs, the calculation gives 150 meV per atom. Its crystal system is orthorhombic.

Unit cell a=4.596 b=4.596 c=4.596 alpha=135.75 beta=123.58 gamma=74.38
Atoms (fractional coordinates):
Li  0.000  0.000  0.000
Li  0.798  0.298  0.500
Ta  0.268  0.768  0.500
Tc  0.542  0.542  0.000

---

A plane-wave DFT calculation with SCAN was carried out for a crystal of Ca2AlRe relaxed with PBEsol.

For the formation energy, the calculation gives 311 meV/atom. Its crystal system is monoclinic.

Unit cell a=5.837 b=5.837 c=5.518 alpha=104.90 beta=104.90 gamma=28.69
Atoms (fractional coordinates):
Ca  0.000  0.000  0.000
Ca  0.189  0.189  0.623
Al  0.765  0.765  0.174
Re  0.433  0.433  0.462

---

| no. | total DFT energy (no corrections) (Ry/atom) |
| --- | --- |
| 1 | -3.172 |
| 2 | -1.914 |
| 3 | -1.718 |
| 4 | -1.356 |
| 5 | -2.066 |
| 6 | -0.464 |
| 7 | -1.591 |
| 8 | -2.375 |
| 9 | -0.893 |
| 10 | -0.778 |
| 11 | -1.931 |
| 12 | -1.781 |